[1]
An optimized crystal structure of Ca2TcTe. Source: Alexandria via LeMat-Bulk, functional PBE.

Lattice parameters (Å, degrees): 3.4891 3.4891 8.7910 90.00 90.00 90.00
Closest atoms and distances in Å follow each position.
Element x y z (fractional)
Ca 0.0000 0.0000 0.0000  4 Te 3.33, 1 Tc 3.41, 4 Ca 3.49
Ca 0.5000 0.5000 0.3705  4 Tc 3.26, 1 Te 3.30, 4 Ca 3.49
Tc 0.0000 0.0000 0.6125  4 Te 2.73
Te 0.5000 0.5000 0.7461  4 Tc 2.73

Computed properties:
Uncorrected formation energy = -82 meV per atom
Electronic total energy = -17.839 eV per cell
Calculated volume = 107.02 Å³/cell
Space-group type = P4mm

[2]
An optimized crystal structure of TiV2Mo2. Source: Alexandria via LeMat-Bulk, functional PBE.

Lattice parameters (Å, degrees): 4.2566 4.5276 8.0261 90.00 105.31 90.00
Closest atoms and distances in Å follow each position.
Element x y z (fractional)
Ti 0.1481 0.2500 0.2954  6 Mo 2.64-2.73, 2 V 2.76
Ti 0.8519 0.7500 0.7046  6 Mo 2.64-2.73, 2 V 2.76
V 0.0465 0.7500 0.0924  2 Mo 2.57, 4 V 2.68-2.70, 2 Ti 2.76
V 0.3470 0.2500 0.6941  6 Mo 2.57-2.80, 2 V 2.69-2.70
V 0.6530 0.7500 0.3059  6 Mo 2.57-2.80, 2 V 2.69-2.70
V 0.9535 0.2500 0.9076  2 Mo 2.57, 4 V 2.68-2.70, 2 Ti 2.76
Mo 0.2463 0.7500 0.4924  4 V 2.57-2.75, 4 Ti 2.69-2.73
Mo 0.4529 0.7500 0.9061  4 V 2.57-2.80, 2 Ti 2.64, 2 Mo 2.69
Mo 0.5471 0.2500 0.0939  4 V 2.57-2.80, 2 Ti 2.64, 2 Mo 2.69
Mo 0.7537 0.2500 0.5076  4 V 2.57-2.75, 4 Ti 2.69-2.73

Computed properties:
Electronic total energy = -96.349 eV per cell
Calculated volume = 149.19 Å³/cell
Space-group type = P2_1/m

[3]
An optimized crystal structure of TiBN2. Source: Alexandria via LeMat-Bulk, functional PBE.

Lattice parameters (Å, degrees): 5.2925 5.2925 5.2925 34.09 34.09 34.09
Closest atoms and distances in Å follow each position.
Element x y z (fractional)
Ti 0.0000 0.0000 0.0000  6 N 2.13
B 0.5000 0.5000 0.5000  2 N 1.34
N 0.4103 0.4103 0.4103  1 B 1.34
N 0.5897 0.5897 0.5897  1 B 1.34

Computed properties:
Uncorrected formation energy = -998 meV per atom
Electronic total energy = -35.213 eV per cell
Calculated volume = 41.51 Å³/cell
Space-group type = R-3m